Material: Tc2BiPI
Method: DFT, SCAN
State: single point on PBEsol structure

Cell lengths 4.8413, 4.8413, 5.0716 Å; angles 90.00, 90.00, 90.00 degrees
Last column: magnetic moment on the atom in μB.
Atoms (fractional coordinates):
Tc  0.0000  0.5000  0.0000  1.57
Tc  0.5000  0.0000  0.0000  1.57
P  0.0000  0.0000  0.5000  0.03
Bi  0.5000  0.5000  0.5000  -0.09
I  0.0000  0.0000  0.0000  -0.05

magnetization	3.21	μB/f.u.
crystal system	tetragonal
formation energy (no corrections)	1939	meV/atom
space group	P4/mmm


Material: CaY3
Method: DFT, SCAN
State: single point on PBEsol structure

Cell lengths 3.5562, 3.5562, 12.0678 Å; angles 81.53, 81.53, 60.00 degrees
Last column: magnetic moment on the atom in μB.
Atoms (fractional coordinates):
Ca  0.0000  0.0000  0.0000  0.02
Y  0.2453  0.2453  0.2640  0.05
Y  0.5000  0.5000  0.5000  0.05
Y  0.7547  0.7547  0.7360  0.05

magnetization	0.39	μB/f.u.
crystal system	trigonal
DFT formation energy	0.090	eV/atom
space group	R-3m